This record from Alexandria describes crystalline UPa4 at its relaxed geometry. The functional is PBE.

Calculated values
The calculation puts the formation energy at 23.4 kJ per mole of atoms. For the total magnetization, the calculation gives 0.00 μB per formula unit. The electronic total energy comes out at -9.612 eV per atom. The calculation puts the energy above the most stable polymorph in this dataset at 0 meV/atom.

Unit cell a=6.037 b=6.037 c=6.613 alpha=90.00 beta=90.00 gamma=90.00
Space group P-42_1c (No. 114)
Asymmetric unit:
1 U 0.000 0.000 0.000 (multiplicity 2)
2 Pa 0.135 0.271 0.381 (multiplicity 8)